Entry from Alexandria via LeMat-Bulk: ScZnFeCu2 after structural relaxation (PBE).

Unit cell a=4.742 b=4.372 c=4.742 alpha=90.00 beta=90.00 gamma=90.00
Each line ends with the local moment (μB).
Atoms (fractional coordinates):
Zn 0.500 0.500 0.500  -0.01
Cu 0.500 0.000 0.000  -0.01
Cu 0.000 0.000 0.500  -0.01
Sc 0.000 0.000 0.000  -0.28
Fe 0.000 0.500 0.000  1.99

Calculated formation energy, meV/atom: 1216
Total energy, eV/cell: -18.2
Total magnetization, μB/f.u.: 1.66
D(E_F), states/eV per cell: 3.924

***

Entry from Alexandria via LeMat-Bulk: Ba2NaF after structural relaxation (PBE).

Unit cell a=4.343 b=4.343 c=9.949 alpha=77.39 beta=77.39 gamma=60.00
Each line ends with the local moment (μB).
Atoms (fractional coordinates):
Ba 0.721 0.721 0.836  0.23
Ba 0.279 0.279 0.164  0.23
F 0.000 0.000 0.000  0.03
Na 0.500 0.500 0.500  0.01

Uncorrected formation energy, meV per atom: -1196
Energy above the lowest structure with this stoichiometry, meV per atom: 109
Total energy, eV/cell: -11.8
Total magnetization, μB/f.u.: 1.59
D(E_F), states/eV per cell: 3.184

***

Entry from Alexandria via LeMat-Bulk: TbEuErMg after structural relaxation (PBE).

Unit cell a=5.573 b=5.573 c=5.573 alpha=60.00 beta=60.00 gamma=60.00
Each line ends with the local moment (μB).
Atoms (fractional coordinates):
Er 0.250 0.250 0.250  0.03
Tb 0.750 0.750 0.750  0.04
Eu 0.500 0.500 0.500  6.83
Mg 0.000 0.000 0.000  -0.01

Calculated formation energy, meV/atom: 85
Total energy, eV/cell: -20.7
Total magnetization, μB/f.u.: 7.07
D(E_F), states/eV per cell: 3.109

***

Entry from Alexandria via LeMat-Bulk: PuZn3Ge2 after structural relaxation (PBE).

Unit cell a=4.192 b=8.182 c=7.425 alpha=115.13 beta=90.00 gamma=104.84
Each line ends with the local moment (μB).
Atoms (fractional coordinates):
Zn 0.055 0.110 0.414  0.00
Zn 0.307 0.615 0.539  0.01
Zn 0.382 0.765 0.282  0.00
Zn 0.945 0.890 0.586  0.00
Zn 0.693 0.385 0.461  0.01
Zn 0.618 0.235 0.718  0.00
Ge 0.481 0.962 0.812  -0.03
Ge 0.519 0.038 0.188  -0.03
Ge 0.221 0.442 0.763  -0.03
Ge 0.779 0.558 0.237  -0.03
Pu 0.133 0.265 0.055  5.36
Pu 0.867 0.735 0.945  5.36

Calculated formation energy, meV/atom: -160
Total energy, eV/cell: -56.7
Total magnetization, μB/f.u.: 5.65
D(E_F), states/eV per cell: 19.481

***

Entry from Alexandria via LeMat-Bulk: Ti2TeSe after structural relaxation (PBE).

Unit cell a=3.616 b=3.616 c=7.237 alpha=75.53 beta=75.53 gamma=60.00
Atoms (fractional coordinates):
Ti 0.078 0.078 0.767
Ti 0.256 0.256 0.233
Se 0.667 0.667 0.000
Te 0.500 0.500 0.500

Uncorrected formation energy, meV per atom: -707
Energy above the lowest structure with this stoichiometry, meV per atom: 168
Total energy, eV/cell: -25.2
Total magnetization, μB/f.u.: 0.00
D(E_F), states/eV per cell: 4.440

***

Entry from Alexandria via LeMat-Bulk: NaFeS3 after structural relaxation (PBE).

Unit cell a=4.509 b=4.509 c=4.509 alpha=90.00 beta=90.00 gamma=90.00
Atoms (fractional coordinates):
Na 0.500 0.500 0.500
Fe 0.000 0.000 0.000
S 0.000 0.000 0.500
S 0.000 0.500 0.000
S 0.500 0.000 0.000

Uncorrected formation energy, meV per atom: -20
Energy above the lowest structure with this stoichiometry, meV per atom: 0
Total energy, eV/cell: -22.3
Total magnetization, μB/f.u.: 0.00
D(E_F), states/eV per cell: 7.556

***

Entry from Alexandria via LeMat-Bulk: Th4As6Pd5 after structural relaxation (PBE).

Unit cell a=4.255 b=9.977 c=15.452 alpha=90.00 beta=90.00 gamma=102.31
Atoms (fractional coordinates):
Pd 0.444 0.889 0.677
Pd 0.642 0.284 0.470
Pd 0.556 0.111 0.177
Pd 0.655 0.311 0.785
Pd 0.358 0.716 0.970
Pd 0.697 0.393 0.117
Pd 0.852 0.705 0.131
Pd 0.148 0.295 0.631
Pd 0.303 0.607 0.617
Pd 0.345 0.689 0.285
As 0.579 0.158 0.920
As 0.229 0.457 0.760
As 0.429 0.857 0.127
As 0.571 0.143 0.627
As 0.111 0.223 0.117
As 0.421 0.842 0.420
As 0.889 0.777 0.617
As 0.787 0.573 0.989
As 0.561 0.122 0.345
As 0.439 0.878 0.845
As 0.213 0.427 0.489
As 0.771 0.543 0.260
Th 0.813 0.626 0.449
Th 0.169 0.339 0.299
Th 0.187 0.374 0.949
Th 0.831 0.661 0.799
Th 0.039 0.078 0.768
Th 0.961 0.922 0.268
Th 0.981 0.963 0.001
Th 0.019 0.037 0.501

Calculated formation energy, meV/atom: -969
Total energy, eV/cell: -196.1
Total magnetization, μB/f.u.: 0.00
D(E_F), states/eV per cell: 9.510

***

Entry from Alexandria via LeMat-Bulk: Dy4Tl2H after structural relaxation (PBE).

Unit cell a=6.167 b=6.736 c=9.288 alpha=90.00 beta=111.96 gamma=90.00
Atoms (fractional coordinates):
Dy 0.531 0.000 0.269
Dy 0.091 0.750 0.372
Dy 0.531 0.500 0.269
Dy 0.110 0.750 0.930
Dy 0.909 0.250 0.628
Dy 0.469 0.000 0.731
Dy 0.890 0.250 0.070
Dy 0.469 0.500 0.731
Tl 0.303 0.250 0.958
Tl 0.788 0.750 0.580
Tl 0.697 0.750 0.042
Tl 0.212 0.250 0.420
H 0.727 0.250 0.801
H 0.273 0.750 0.199

Total energy, eV/cell: -57.8
Total magnetization, μB/f.u.: 0.00
D(E_F), states/eV per cell: 8.781

***

> Look up the D(E_F) of the second one.

3.184 states/eV per cell

***

> Among the records above, which one has the highest D(E_F)?

PuZn3Ge2